This record from OQMD via LeMat-Bulk describes a geometry-optimized KHfPdS3 structure. The functional is PBE-GGA.

Summary:
ρ	5.083	g/cm³
VASP energy	-5.980	eV/atom

abc: 8.154 3.715 9.684
angles: 90.00 110.60 90.00
Space group P2_1/m (No. 11)
Unique sites:
K 0.238 0.250 0.271
Hf 0.316 0.750 0.839
Pd 0.110 0.250 0.593
S 0.109 0.250 0.852
S 0.274 0.750 0.566
S 0.448 0.750 0.128